Entry 1:
First-principles (PBE-GGA) data for an optimized crystal structure of LiTb2Al3Ga6, as listed in Alexandria via LeMat-Bulk.

Its total magnetization is 0.0 μB/f.u. The calculation puts the volume at 277.5 Å³/f.u. The value obtained for the formation energy is -74.1 meV per atom.

The space group is P4/mmm (No. 123) and the conventional cell measures 4.292, 4.292 and 15.066 Å, with angles of 90.00, 90.00 and 90.00 degrees. The distinct sites, in fractional coordinates, are Li at (0.000, 0.000, 0.000), Tb at (0.000, 0.000, 0.243), Al at (0.500, 0.500, 0.184), Al at (0.500, 0.500, 0.500), Ga at (0.000, 0.500, 0.087) and Ga at (0.500, 0.500, 0.342).



Entry 2:
First-principles (PBE-GGA) data for an optimized crystal structure of Li2TbAl2Ga2, as listed in Alexandria via LeMat-Bulk.

Its total magnetization is 0.0 μB/f.u. The calculation puts the volume at 125.8 Å³/f.u. The value obtained for the formation energy is -412.1 meV per atom.

The space group is C2/m (No. 12) and the conventional cell measures 7.517, 4.331 and 8.116 Å, with angles of 90.00, 107.72 and 90.00 degrees. The distinct sites, in fractional coordinates, are Li at (0.143, 0.000, 0.431), Tb at (0.000, 0.000, 0.000), Al at (0.067, 0.500, 0.698) and Ga at (0.238, 0.500, 0.217).



Entry 3:
First-principles (PBE-GGA) data for an optimized crystal structure of LiTbAlGa, as listed in Alexandria via LeMat-Bulk.

Its total magnetization is 0.0 μB/f.u. The calculation puts the volume at 80.9 Å³/f.u. The value obtained for the formation energy is -337.2 meV per atom.

The space group is F-43m (No. 216) and the conventional cell measures 6.866, 6.866 and 6.866 Å, with angles of 90.00, 90.00 and 90.00 degrees. The distinct sites, in fractional coordinates, are Li at (0.000, 0.000, 0.000), Tb at (0.000, 0.000, 0.500), Al at (0.250, 0.250, 0.250) and Ga at (0.250, 0.250, 0.750).



Entry 4:
First-principles (PBE-GGA) data for an optimized crystal structure of Li2AlGaTc, as listed in Alexandria via LeMat-Bulk.

Its total magnetization is 2.6 μB/f.u. The calculation puts the volume at 90.1 Å³/f.u. The value obtained for the formation energy is 802.4 meV per atom.

The space group is P4/mmm (No. 123) and the conventional cell measures 4.356, 4.356 and 4.746 Å, with angles of 90.00, 90.00 and 90.00 degrees. The distinct sites, in fractional coordinates, are Li at (0.000, 0.500, 0.000), Al at (0.000, 0.000, 0.500), Ga at (0.000, 0.000, 0.000) and Tc at (0.500, 0.500, 0.500).



Entry 5:
First-principles (PBE-GGA) data for an optimized crystal structure of Li2AlGaTe4, as listed in Alexandria via LeMat-Bulk.

Its total magnetization is 0.0 μB/f.u. The calculation puts the volume at 245.4 Å³/f.u. The calculation puts the formation energy without anion corrections at -0.655 eV per atom.

The space group is Pmn2_1 (No. 31) and the conventional cell measures 8.582, 7.885 and 7.253 Å, with angles of 90.00, 90.00 and 90.00 degrees. The distinct sites, in fractional coordinates, are Li at (0.249, 0.170, 0.000), Al at (0.000, 0.346, 0.496), Ga at (0.000, 0.654, 0.997), Te at (0.000, 0.343, 0.861), Te at (0.000, 0.657, 0.365) and Te at (0.249, 0.171, 0.383).



Entry 6:
First-principles (PBE-GGA) data for an optimized crystal structure of LiThAlGa, as listed in Alexandria via LeMat-Bulk.

Its total magnetization is 0.0 μB/f.u. The calculation puts the volume at 87.7 Å³/f.u. The value obtained for the formation energy is -201.9 meV per atom.

The space group is F-43m (No. 216) and the conventional cell measures 7.052, 7.052 and 7.052 Å, with angles of 90.00, 90.00 and 90.00 degrees. The distinct sites, in fractional coordinates, are Li at (0.000, 0.000, 0.000), Th at (0.000, 0.000, 0.500), Al at (0.250, 0.250, 0.250) and Ga at (0.250, 0.250, 0.750).



Entry 7:
First-principles (PBE-GGA) data for an optimized crystal structure of LiThAlGa2, as listed in Alexandria via LeMat-Bulk.

Its total magnetization is 0.0 μB/f.u. The calculation puts the volume at 98.3 Å³/f.u. The value obtained for the formation energy is -439.6 meV per atom.

The space group is I-4m2 (No. 119) and the conventional cell measures 4.218, 4.218 and 11.051 Å, with angles of 90.00, 90.00 and 90.00 degrees. The distinct sites, in fractional coordinates, are Li at (0.000, 0.000, 0.000), Th at (0.000, 0.500, 0.750), Al at (0.000, 0.000, 0.500) and Ga at (0.000, 0.500, 0.136).



Entry 8:
First-principles (PBE-GGA) data for an optimized crystal structure of LiTiAlGa2, as listed in Alexandria via LeMat-Bulk.

Its total magnetization is 0.0 μB/f.u. The calculation puts the volume at 112.9 Å³/f.u. The value obtained for the formation energy is 513.3 meV per atom.

The space group is P4/mmm (No. 123) and the conventional cell measures 4.817, 4.817 and 4.864 Å, with angles of 90.00, 90.00 and 90.00 degrees. The distinct sites, in fractional coordinates, are Li at (0.000, 0.000, 0.000), Ti at (0.500, 0.500, 0.000), Al at (0.500, 0.500, 0.500) and Ga at (0.000, 0.500, 0.500).